Version A
MnTlW2, relaxed, DFT GGA-PBE; density of states at the Fermi level = 3.64 states/eV/f.u.; space-group type = R-3m, No. 166; total magnetic moment = 0.295 μB/atom
1.0
9.271 -0.024 -0.014
8.819 2.859 -0.014
8.819 1.382 2.503
Mn Tl W
1 1 2
direct
0.250 0.250 0.250
0.750 0.750 0.750
0.990 0.990 0.990
0.510 0.510 0.510

***

Version B
MnTlW2, relaxed, DFT GGA-PBE; density of states at the Fermi level = 3.03 states/eV/f.u.; space-group type = P2/m, No. 10; total magnetic moment = 0.408 μB/atom
1.0
4.140 0.000 0.000
0.000 2.820 -0.022
0.000 2.173 5.770
Mn Tl W
1 1 2
direct
0.500 0.250 0.250
0.500 0.750 0.750
0.000 0.034 0.043
0.000 0.466 0.457

***

Version C
MnTlW2, relaxed, DFT GGA-PBE; density of states at the Fermi level = 2.64 states/eV/f.u.; space-group type = P4mm, No. 99; total magnetic moment = 0.801 μB/atom
1.0
-1.667 -1.596 -2.302
2.700 -1.628 -0.827
-1.485 -4.648 4.298
Mn Tl W
1 1 2
direct
0.000 0.000 0.470
0.500 0.500 0.737
0.000 0.000 0.040
0.500 0.500 0.253

***

Version D
MnTlW2, relaxed, DFT GGA-PBE; density of states at the Fermi level = 2.83 states/eV/f.u.; space-group type = Immm, No. 71; total magnetic moment = 0.529 μB/atom
1.0
-4.510 -2.753 -0.736
-2.001 -4.788 -1.236
-1.267 -2.418 3.487
Mn Tl W
1 1 2
direct
0.250 0.250 0.250
0.750 0.750 0.750
0.986 0.986 0.014
0.514 0.514 0.486

***

Referenced to the most stable arrangement, the calculated values in meV/atom are version A 227; version B 147; version C 0; version D 92.

***

Version A
MnTlW2, relaxed, DFT GGA-PBE; density of states at the Fermi level = 2.52 states/eV/f.u.; space-group type = P4/mmm, No. 123; total magnetic moment = 0.739 μB/atom
1.0
4.414 0.000 0.000
0.000 3.896 0.000
0.000 0.000 3.896
Mn Tl W
1 1 2
direct
0.500 0.500 0.000
0.500 0.000 0.500
0.000 0.000 0.000
0.000 0.500 0.500

***

Version B
MnTlW2, relaxed, DFT GGA-PBE; density of states at the Fermi level = 6.39 states/eV/f.u.; space-group type = Fm-3m, No. 225; total magnetic moment = 0.000 μB/atom
1.0
0.000 3.194 3.194
3.194 0.000 3.194
3.194 3.194 0.000
Tl Mn W
1 1 2
direct
0.500 0.500 0.500
0.000 0.000 0.000
0.250 0.250 0.250
0.750 0.750 0.750

***

Version C
MnTlW2, relaxed, DFT GGA-PBE; density of states at the Fermi level = 3.67 states/eV/f.u.; space-group type = C2/m, No. 12; total magnetic moment = 0.677 μB/atom
1.0
-0.918 -4.322 -3.153
-1.055 -0.327 5.314
-2.805 0.039 -0.063
Mn Tl W
1 1 2
direct
0.500 0.000 0.500
0.000 0.500 0.500
0.000 0.000 0.000
0.500 0.500 0.000

***

Version D
MnTlW2, relaxed, DFT GGA-PBE; density of states at the Fermi level = 1.16 states/eV/f.u.; space-group type = P4/mmm, No. 123; total magnetic moment = 0.479 μB/atom
1.0
3.317 0.000 0.000
0.000 3.317 0.000
0.000 0.000 6.267
Mn Tl W
1 1 2
direct
0.500 0.500 0.250
0.500 0.500 0.750
0.000 0.000 0.057
0.000 0.000 0.443

***

Referenced to the most stable arrangement, the calculated values in meV/atom are version A 15; version B 431; version C 106; version D 0.

***

Version A
Mn3TlW, relaxed, DFT GGA-PBE; density of states at the Fermi level = 12.02 states/eV/f.u.; space-group type = Pm-3m, No. 221; total magnetic moment = 0.013 μB/atom
1.0
-3.852 -1.407 -2.025
2.149 -3.757 -1.477
-1.209 -2.196 3.826
Tl Mn W
1 3 1
direct
0.000 0.000 0.000
0.000 0.500 0.000
0.000 0.000 0.500
0.500 0.000 0.000
0.500 0.500 0.500

***

Version B
Mn3TlW, relaxed, DFT GGA-PBE; density of states at the Fermi level = 8.28 states/eV/f.u.; space-group type = Pm-3m, No. 221; total magnetic moment = 1.738 μB/atom
1.0
4.731 0.000 0.000
0.000 4.731 0.000
0.000 0.000 4.731
Tl Mn W
1 3 1
direct
0.500 0.500 0.500
0.000 0.500 0.000
0.000 0.000 0.500
0.500 0.000 0.000
0.000 0.000 0.000

***

Referenced to the most stable arrangement, the calculated values in meV/atom are version A 1598; version B 0.